# NaBeHg2Rh (PBEsol, optimized geometry)
# E_form, meV per atom: 1488
# Symmetry: P4/mmm, No. 123
data_NaBeHg2Rh
_chemical_formula_sum 'Na1 Be1 Hg2 Rh1'
_cell_length_a 4.8668
_cell_length_b 4.8668
_cell_length_c 4.3066
_cell_angle_alpha 90.00
_cell_angle_beta 90.00
_cell_angle_gamma 90.00
_symmetry_space_group_name_H-M 'P 1'
_symmetry_Int_Tables_number 1
_symmetry_space_group_name_Hall 'P 1'
loop_
_atom_site_label
_atom_site_fract_x
_atom_site_fract_y
_atom_site_fract_z
Na1 0.0000 0.0000 0.0000
Be1 0.0000 0.0000 0.5000
Hg1 0.0000 0.5000 0.0000
Hg2 0.5000 0.0000 0.0000
Rh1 0.5000 0.5000 0.5000